# 1
# HoHf2Pa

A geometry-optimized HoHf2Pa structure (PBE, Alexandria via LeMat-Bulk).

SG = P4/mmm
Formation energy = 0.22 eV per atom
Magnetic moment = 0.00 μB/f.u.

a b c (Å): 4.658 4.658 4.586
angles (deg): 90.00 90.00 90.00
Atoms (fractional coordinates):
Ho (0.000, 0.000, 0.000)
Hf (0.000, 0.500, 0.500)
Hf (0.500, 0.000, 0.500)
Pa (0.500, 0.500, 0.000)

---

# 2
# U2Ni4GeP3

A geometry-optimized U2Ni4GeP3 structure (PBE, Alexandria via LeMat-Bulk).

SG = P-4m2
Formation energy = -0.67 eV per atom
Magnetic moment = 4.10 μB/f.u.

a b c (Å): 4.002 4.002 9.171
angles (deg): 90.00 90.00 90.00
Atoms (fractional coordinates):
U (0.000, 0.500, 0.246)
U (0.500, 0.000, 0.754)
Ni (0.000, 0.000, 0.000)
Ni (0.000, 0.500, 0.627)
Ni (0.500, 0.000, 0.373)
Ni (0.500, 0.500, 0.000)
Ge (0.000, 0.000, 0.500)
P (0.000, 0.500, 0.869)
P (0.500, 0.000, 0.131)
P (0.500, 0.500, 0.500)

---

# 3
# KSnI2

A geometry-optimized KSnI2 structure (PBE, Alexandria via LeMat-Bulk).

SG = Fm-3m
E_form (uncorrected) = -539 meV/atom
Magnetic moment = 0.00 μB/f.u.

a b c (Å): 5.920 5.920 5.920
angles (deg): 60.00 60.00 60.00
Atoms (fractional coordinates):
K (0.000, 0.000, 0.000)
Sn (0.500, 0.500, 0.500)
I (0.250, 0.250, 0.250)
I (0.750, 0.750, 0.750)

---

# 4
# BC2

A geometry-optimized BC2 structure (PBE, Alexandria via LeMat-Bulk).

SG = Cm
Formation energy = 0.32 eV per atom
Magnetic moment = 0.00 μB/f.u.

a b c (Å): 6.070 6.070 5.243
angles (deg): 102.92 102.92 23.98
Atoms (fractional coordinates):
B (0.000, 0.000, 0.000)
B (0.007, 0.007, 0.497)
B (0.269, 0.269, 0.875)
B (0.657, 0.657, 0.826)
C (0.253, 0.253, 0.372)
C (0.336, 0.336, 0.181)
C (0.339, 0.339, 0.648)
C (0.592, 0.592, 0.054)
C (0.594, 0.594, 0.526)
C (0.672, 0.672, 0.330)
C (0.907, 0.907, 0.202)
C (0.913, 0.913, 0.693)

---

# 5
# Al2CdFe

A geometry-optimized Al2CdFe structure (PBE, Alexandria via LeMat-Bulk).

SG = P2/m
Formation energy = -0.11 eV per atom
Magnetic moment = 0.00 μB/f.u.

a b c (Å): 2.944 2.826 7.896
angles (deg): 90.00 100.32 90.00
Atoms (fractional coordinates):
Al (0.084, 0.000, 0.177)
Al (0.916, 0.000, 0.823)
Cd (0.500, 0.500, 0.500)
Fe (0.500, 0.500, 0.000)

---

# 6
# Ac2DyC2Br2

A geometry-optimized Ac2DyC2Br2 structure (PBE, Alexandria via LeMat-Bulk).

SG = I4/mmm
E_form (uncorrected) = -730 meV/atom
Magnetic moment = 0.00 μB/f.u.

a b c (Å): 8.818 8.818 8.818
angles (deg): 149.33 149.33 43.93
Atoms (fractional coordinates):
Ac (0.102, 0.102, 0.000)
Ac (0.898, 0.898, 0.000)
Dy (0.500, 0.500, 0.000)
C (0.000, 0.500, 0.500)
C (0.500, 0.000, 0.500)
Br (0.314, 0.314, 0.000)
Br (0.686, 0.686, 0.000)

---

Question: Look up the magnetic moment of the first one.
Answer: 0.00 μB/f.u.